No. 1
First-principles (PBE-GGA) data for a relaxed structure of BeTlSi2, as listed in Alexandria.

Structure (POSCAR):
```
BeTlSi2
1.0
3.5999 -1.8272 0.0000
3.5999 1.8272 0.0000
-2.3195 0.0000 5.9222
Be Tl Si
1 1 2
direct
0.0000 0.0000 0.0000
0.7040 0.7040 0.4195
0.3101 0.3101 0.0057
0.5116 0.5116 0.7791
```

Polymorph energy (0 for the lowest one), eV per atom: 0.000
SG: No. 8
E_form (uncorrected), meV per atom: 409

No. 2
First-principles (PBE-GGA) data for a relaxed structure of Be4TlSi, as listed in Alexandria.

Structure (POSCAR):
```
Be4TlSi
1.0
0.0000 3.3584 3.3584
3.3584 0.0000 3.3584
3.3584 3.3584 0.0000
Be Tl Si
4 1 1
direct
0.1225 0.1225 0.1225
0.1225 0.1225 0.6326
0.1225 0.6326 0.1225
0.6326 0.1225 0.1225
0.5000 0.5000 0.5000
0.7500 0.7500 0.7500
```

SG: No. 216
E_form (uncorrected), meV per atom: 603

No. 3
First-principles (PBE-GGA) data for a relaxed structure of BeTlSi, as listed in Alexandria.

Structure (POSCAR):
```
BeTlSi
1.0
3.9166 0.0000 0.0000
-1.9583 3.3919 0.0000
0.0000 0.0000 4.3680
Be Tl Si
1 1 1
direct
0.0000 0.0000 0.0000
0.3333 0.6667 0.5000
0.6667 0.3333 0.0000
```

Polymorph energy (0 for the lowest one), eV per atom: 0.000
SG: No. 187
E_form (uncorrected), meV per atom: 436

No. 4
First-principles (PBE-GGA) data for a relaxed structure of Be2TlSi, as listed in Alexandria.

Structure (POSCAR):
```
Be2TlSi
1.0
-2.1810 2.1810 7.2905
2.1810 -2.1810 7.2905
2.1810 2.1810 -7.2905
Be Tl Si
4 2 2
direct
0.3750 0.2342 0.3592
0.7658 0.1250 0.1408
0.8750 0.0158 0.6408
0.9842 0.6250 0.8592
0.2500 0.7500 0.5000
0.5000 0.5000 0.0000
0.0000 0.0000 0.0000
0.7500 0.2500 0.5000
```

Polymorph energy (0 for the lowest one), eV per atom: 0.236
SG: No. 122
E_form (uncorrected), meV per atom: 515

No. 5
First-principles (PBE-GGA) data for a relaxed structure of BeTlSi2, as listed in Alexandria.

Structure (POSCAR):
```
BeTlSi2
1.0
0.0000 3.3245 3.3245
3.3245 0.0000 3.3245
3.3245 3.3245 0.0000
Be Tl Si
1 1 2
direct
0.0000 0.0000 0.0000
0.5000 0.5000 0.5000
0.2500 0.2500 0.2500
0.7500 0.7500 0.7500
```

Polymorph energy (0 for the lowest one), eV per atom: 0.536
SG: No. 225
E_form (uncorrected), meV per atom: 945

No. 6
First-principles (PBE-GGA) data for a relaxed structure of BeTlSi2, as listed in Alexandria.

Structure (POSCAR):
```
BeTlSi2
1.0
-1.8204 2.9799 3.7222
1.8204 -2.9799 3.7222
1.8204 2.9799 -3.7222
Be Tl Si
1 1 2
direct
0.0000 0.0000 0.0000
0.7163 0.2163 0.5000
0.1699 0.6699 0.5000
0.3745 0.3745 0.0000
```

Polymorph energy (0 for the lowest one), eV per atom: 0.285
SG: No. 44
E_form (uncorrected), meV per atom: 694

Which of these has the lowest E_form (uncorrected)? number 1

Which value of E_form (uncorrected) does entry 5 give? 945 meV per atom

E_form (uncorrected) of number 1 (BeTlSi2)? 409 meV per atom

Which formula does entry 3 have? BeTlSi